(1)
Density functional theory data (PBE-GGA) for a relaxed ScTl2Co crystal.

Unit cell a=8.7381 b=8.7381 c=8.7381 alpha=22.49 beta=22.49 gamma=22.49
Sites, in units of the cell vectors:
Sc  0.0000  0.0000  0.0000
Tl  0.2399  0.2399  0.2399
Tl  0.7601  0.7601  0.7601
Co  0.5000  0.5000  0.5000

Space-group type   R-3m
ΔE_f   101 kJ/mol of formula units



(2)
Density functional theory data (PBE-GGA) for a relaxed Sc2TlCo crystal.

Unit cell a=6.0676 b=6.0676 c=6.0676 alpha=103.72 beta=103.72 gamma=121.72
Sites, in units of the cell vectors:
Sc  0.0611  0.6250  0.9361
Sc  0.3750  0.3111  0.4361
Sc  0.6889  0.1250  0.0639
Sc  0.8750  0.9389  0.5639
Tl  0.2500  0.7500  0.5000
Tl  0.5000  0.5000  0.0000
Co  0.0000  0.0000  0.0000
Co  0.7500  0.2500  0.5000

Space-group type   I-42d
ΔE_f   29 kJ/mol of formula units



(3)
Density functional theory data (PBE-GGA) for a relaxed Sc4TlCo crystal.

Unit cell a=5.6976 b=5.6976 c=5.6976 alpha=60.00 beta=60.00 gamma=60.00
Sites, in units of the cell vectors:
Sc  0.3758  0.3758  0.3758
Sc  0.3758  0.3758  0.8727
Sc  0.3758  0.8727  0.3758
Sc  0.8727  0.3758  0.3758
Tl  0.0000  0.0000  0.0000
Co  0.7500  0.7500  0.7500

Energy above the lowest structure with this stoichiometry   735.9 meV/atom
Space-group type   F-43m
ΔE_f   271 kJ/mol of formula units



(4)
Density functional theory data (PBE-GGA) for a relaxed ScTlCo crystal.

Unit cell a=4.5123 b=4.5123 c=3.1620 alpha=90.00 beta=90.00 gamma=120.00
Sites, in units of the cell vectors:
Sc  0.0000  0.0000  0.0000
Tl  0.6667  0.3333  0.5000
Co  0.3333  0.6667  0.5000

Space-group type   P-6m2
ΔE_f   9 kJ/mol of formula units



(5)
Density functional theory data (PBE-GGA) for a relaxed ScTl4Co crystal.

Unit cell a=6.1056 b=6.1056 c=6.1056 alpha=60.00 beta=60.00 gamma=60.00
Sites, in units of the cell vectors:
Sc  0.0000  0.0000  0.0000
Tl  0.1257  0.6248  0.6248
Tl  0.6248  0.1257  0.6248
Tl  0.6248  0.6248  0.1257
Tl  0.6248  0.6248  0.6248
Co  0.2500  0.2500  0.2500

Space-group type   F-43m
ΔE_f   394 kJ/mol of formula units



(6)
Density functional theory data (PBE-GGA) for a relaxed ScTl2Co crystal.

Unit cell a=9.2972 b=9.2972 c=9.2972 alpha=20.94 beta=20.94 gamma=20.94
Sites, in units of the cell vectors:
Sc  0.0000  0.0000  0.0000
Tl  0.5340  0.5340  0.5340
Tl  0.7634  0.7634  0.7634
Co  0.2740  0.2740  0.2740

Space-group type   R3m
ΔE_f   70 kJ/mol of formula units



(7)
Density functional theory data (PBE-GGA) for a relaxed Sc2TlCo crystal.

Unit cell a=3.5760 b=3.5760 c=6.5106 alpha=90.00 beta=90.00 gamma=90.00
Sites, in units of the cell vectors:
Sc  0.0000  0.0000  0.0000
Sc  0.5000  0.5000  0.2945
Tl  0.0000  0.0000  0.5621
Co  0.5000  0.5000  0.8962

Space-group type   P4mm
ΔE_f   -4 kJ/mol of formula units



(8)
Density functional theory data (PBE-GGA) for a relaxed Sc8TlCo2 crystal.

Unit cell a=7.3959 b=7.3959 c=4.8379 alpha=97.30 beta=97.30 gamma=113.17
Sites, in units of the cell vectors:
Sc  0.1118  0.1118  0.8018
Sc  0.1685  0.4339  0.4257
Sc  0.2488  0.7512  0.0000
Sc  0.4339  0.1685  0.4257
Sc  0.5661  0.8315  0.5743
Sc  0.7512  0.2488  0.0000
Sc  0.8315  0.5661  0.5743
Sc  0.8882  0.8882  0.1982
Tl  0.5000  0.5000  0.0000
Co  0.1879  0.8121  0.5000
Co  0.8121  0.1879  0.5000

Space-group type   C2/m
ΔE_f   -188 kJ/mol of formula units



(9)
Density functional theory data (PBE-GGA) for a relaxed Sc2TlCo crystal.

Unit cell a=9.2940 b=9.2940 c=9.2940 alpha=21.83 beta=21.83 gamma=21.83
Sites, in units of the cell vectors:
Sc  0.1148  0.1148  0.1148
Sc  0.8852  0.8852  0.8852
Tl  0.0000  0.0000  0.0000
Co  0.5000  0.5000  0.5000

Space-group type   R-3m
ΔE_f   -10 kJ/mol of formula units



(10)
Density functional theory data (PBE-GGA) for a relaxed Sc2TlCo crystal.

Unit cell a=5.0917 b=5.0917 c=5.0917 alpha=134.72 beta=121.06 gamma=77.31
Sites, in units of the cell vectors:
Sc  0.2092  0.2092  0.0000
Sc  0.7908  0.7908  0.0000
Tl  0.5000  0.0000  0.5000
Co  0.0000  0.5000  0.5000

Space-group type   Immm
ΔE_f   -59 kJ/mol of formula units



(11)
Density functional theory data (PBE-GGA) for a relaxed Sc3TlCo crystal.

Unit cell a=5.3195 b=5.3195 c=5.3195 alpha=90.00 beta=90.00 gamma=90.00
Sites, in units of the cell vectors:
Sc  0.0000  0.0000  0.5000
Sc  0.0000  0.5000  0.0000
Sc  0.5000  0.0000  0.0000
Tl  0.0000  0.0000  0.0000
Co  0.5000  0.5000  0.5000

Energy above the lowest structure with this stoichiometry   1286.8 meV/atom
Space-group type   Pm-3m
ΔE_f   489 kJ/mol of formula units



(12)
Density functional theory data (PBE-GGA) for a relaxed Sc2TlCo crystal.

Unit cell a=4.2723 b=5.8098 c=5.8098 alpha=33.75 beta=90.00 gamma=90.00
Sites, in units of the cell vectors:
Sc  0.0000  0.0000  0.0000
Sc  0.5000  0.3325  0.3325
Tl  0.5000  0.6129  0.6129
Co  0.0000  0.7786  0.7786

Space-group type   Amm2
ΔE_f   -53 kJ/mol of formula units



(13)
Density functional theory data (PBE-GGA) for a relaxed Sc3TlCo crystal.

Unit cell a=4.8362 b=4.8362 c=4.8362 alpha=90.00 beta=90.00 gamma=90.00
Sites, in units of the cell vectors:
Sc  0.0000  0.0000  0.5000
Sc  0.0000  0.5000  0.0000
Sc  0.5000  0.0000  0.0000
Tl  0.5000  0.5000  0.5000
Co  0.0000  0.0000  0.0000

Energy above the lowest structure with this stoichiometry   127.4 meV/atom
Space-group type   Pm-3m
ΔE_f   -71 kJ/mol of formula units



(14)
Density functional theory data (PBE-GGA) for a relaxed ScTl2Co crystal.

Unit cell a=6.6990 b=6.6990 c=6.6990 alpha=97.58 beta=97.58 gamma=137.39
Sites, in units of the cell vectors:
Sc  0.0000  0.0000  0.0000
Sc  0.7500  0.2500  0.5000
Tl  0.2318  0.1250  0.6068
Tl  0.3750  0.7682  0.8932
Tl  0.5182  0.6250  0.3932
Tl  0.8750  0.4818  0.1068
Co  0.2500  0.7500  0.5000
Co  0.5000  0.5000  0.0000

Space-group type   I-42d
ΔE_f   100 kJ/mol of formula units



(15)
Density functional theory data (PBE-GGA) for a relaxed Sc6TlCo2 crystal.

Unit cell a=7.8170 b=7.8170 c=7.8170 alpha=111.05 beta=110.60 gamma=106.80
Sites, in units of the cell vectors:
Sc  0.0157  0.2349  0.7808
Sc  0.1916  0.2857  0.4773
Sc  0.1916  0.7143  0.9059
Sc  0.3134  0.0155  0.7021
Sc  0.3134  0.6113  0.2979
Sc  0.4540  0.2349  0.2192
Sc  0.5460  0.7651  0.7808
Sc  0.6866  0.3887  0.7021
Sc  0.6866  0.9845  0.2979
Sc  0.8084  0.2857  0.0941
Sc  0.8084  0.7143  0.5227
Sc  0.9843  0.7651  0.2192
Tl  0.0000  0.0000  0.0000
Tl  0.5000  0.5000  0.0000
Co  0.1183  0.6183  0.5000
Co  0.3716  0.0000  0.3716
Co  0.6284  0.0000  0.6284
Co  0.8817  0.3817  0.5000

Space-group type   Immm
ΔE_f   -258 kJ/mol of formula units



(16)
Density functional theory data (PBE-GGA) for a relaxed Sc2TlCo2 crystal.

Unit cell a=8.8590 b=8.8590 c=8.8590 alpha=158.37 beta=158.37 gamma=30.77
Sites, in units of the cell vectors:
Sc  0.1265  0.1265  0.0000
Sc  0.8735  0.8735  0.0000
Tl  0.5000  0.5000  0.0000
Co  0.2500  0.7500  0.5000
Co  0.7500  0.2500  0.5000

Space-group type   I4/mmm
ΔE_f   -31 kJ/mol of formula units



(17)
Density functional theory data (PBE-GGA) for a relaxed ScTl2Co crystal.

Unit cell a=3.6288 b=3.4966 c=7.1638 alpha=90.00 beta=104.62 gamma=90.00
Sites, in units of the cell vectors:
Sc  0.0000  0.0000  0.0000
Tl  0.3506  0.5000  0.6986
Tl  0.6935  0.0000  0.3934
Co  0.5437  0.5000  0.0868

Space-group type   Pm
ΔE_f   18 kJ/mol of formula units



(18)
Density functional theory data (PBE-GGA) for a relaxed ScTlCo crystal.

Unit cell a=5.2899 b=5.2899 c=5.2899 alpha=142.51 beta=142.51 gamma=54.07
Sites, in units of the cell vectors:
Sc  0.0000  0.0000  0.0000
Tl  0.6954  0.6954  0.0000
Co  0.3623  0.3623  0.0000

Space-group type   I4mm
ΔE_f   -18 kJ/mol of formula units



(19)
Density functional theory data (PBE-GGA) for a relaxed Sc4TlCo crystal.

Unit cell a=7.3710 b=7.3710 c=5.5235 alpha=99.88 beta=99.88 gamma=111.66
Sites, in units of the cell vectors:
Sc  0.0526  0.7289  0.9485
Sc  0.1993  0.3524  0.6231
Sc  0.2711  0.9474  0.5515
Sc  0.3524  0.1993  0.1231
Sc  0.6476  0.8007  0.8769
Sc  0.7289  0.0526  0.4485
Sc  0.8007  0.6476  0.3769
Sc  0.9474  0.2711  0.0515
Tl  0.3713  0.6287  0.2500
Tl  0.6287  0.3713  0.7500
Co  0.9995  0.0005  0.2500
Co  0.0005  0.9995  0.7500

Energy above the lowest structure with this stoichiometry   0.0 meV/atom
Space-group type   C2/c
ΔE_f   -155 kJ/mol of formula units



(20)
Density functional theory data (PBE-GGA) for a relaxed ScTl2Co crystal.

Unit cell a=3.3179 b=4.5043 c=5.7424 alpha=90.00 beta=102.02 gamma=90.00
Sites, in units of the cell vectors:
Sc  0.0000  0.0000  0.0000
Tl  0.3499  0.5000  0.7327
Tl  0.6501  0.5000  0.2673
Co  0.5000  0.0000  0.5000

Space-group type   P2/m
ΔE_f   87 kJ/mol of formula units



Number 1: E_tot -17.12 eV for the cell shown. Number 2: E_tot -43.67 eV for the cell shown. Number 3: E_tot -31.99 eV for the cell shown. Number 4: E_tot -15.71 eV for the cell shown. Number 5: E_tot -18.82 eV for the cell shown. Number 6: E_tot -17.44 eV for the cell shown. Number 7: E_tot -22.18 eV for the cell shown. Number 8: E_tot -69.18 eV for the cell shown. Number 9: E_tot -22.24 eV for the cell shown. Number 10: E_tot -22.75 eV for the cell shown. Number 11: E_tot -23.40 eV for the cell shown. Number 12: E_tot -22.69 eV for the cell shown. Number 13: E_tot -29.20 eV for the cell shown. Number 14: E_tot -34.27 eV for the cell shown. Number 15: E_tot -114.48 eV for the cell shown. Number 16: E_tot -29.57 eV for the cell shown. Number 17: E_tot -17.98 eV for the cell shown. Number 18: E_tot -16.00 eV for the cell shown. Number 19: E_tot -72.81 eV for the cell shown. Number 20: E_tot -17.27 eV for the cell shown.